A plane-wave DFT calculation with GGA-PBE was carried out for a relaxed La2InBiPd crystal.

a = 5.608 Å, b = 5.608 Å, c = 5.289 Å
α = 90.00°, β = 90.00°, γ = 90.00°
Fractional coordinates of all 5 atoms:
1 La 0.000 0.500 0.000
2 La 0.500 0.000 0.000
3 In 0.000 0.000 0.500
4 Bi 0.500 0.500 0.500
5 Pd 0.500 0.500 0.000

Output
Formation energy: -0.35 eV/atom
E_tot: -4.68 eV per atom
Crystal system: tetragonal